[1]
5
Lattice="5.076 0.000 0.000 0.000 5.076 0.000 0.000 0.000 5.356" Properties=species:S:1:pos:R:3 comment="Cd2MoPdI SCAN single point on PBEsol structure" density_g_cm3=6.7 e_form_raw_ev_per_atom=0.8736 pbc="T T T"
Cd 0.000 2.538 0.000
Cd 2.538 0.000 0.000
Mo 0.000 0.000 2.678
Pd 2.538 2.538 0.000
I 2.538 2.538 2.678

[2]
12
Lattice="6.653 0.000 0.000 0.000 6.653 0.000 0.000 0.000 6.653" Properties=species:S:1:pos:R:3 comment="ZnInSb SCAN single point on PBEsol structure" density_g_cm3=6.8 e_form_raw_ev_per_atom=0.0647 pbc="T T T"
Zn 0.000 0.000 0.000
Zn 0.000 3.327 3.327
Zn 3.327 0.000 3.327
Zn 3.327 3.327 0.000
In 1.663 1.663 1.663
In 1.663 4.990 4.990
In 4.990 1.663 4.990
In 4.990 4.990 1.663
Sb 1.663 1.663 4.990
Sb 1.663 4.990 1.663
Sb 4.990 1.663 1.663
Sb 4.990 4.990 4.990

[3]
4
Lattice="2.690 0.000 0.000 0.000 2.690 0.000 0.000 0.000 7.924" Properties=species:S:1:pos:R:3 comment="MgBeW2 SCAN single point on PBEsol structure" density_g_cm3=11.6 total_energy_ev_per_atom=-36.8212 pbc="T T T"
Mg 0.000 0.000 0.000
Be 0.000 0.000 3.962
W 1.345 1.345 2.316
W 1.345 1.345 5.608

[4]
5
Lattice="4.616 0.000 0.000 0.000 4.616 0.000 0.000 0.000 5.729" Properties=species:S:1:pos:R:3 comment="SrLaIO2 SCAN single point on PBEsol structure" density_g_cm3=5.2 e_form_raw_ev_per_atom=-1.3276 pbc="T T T"
Sr 0.000 0.000 0.000
La 2.308 2.308 2.864
I 0.000 0.000 2.864
O 0.000 2.308 0.000
O 2.308 0.000 0.000

> Number 2 is which compound?

ZnInSb